1.
DFT (GGA-PBE) results for an optimized crystal structure of NaTiTl.

Cell and atoms, written as POSCAR:
```
NaTiTl
1.0
4.414 0.000 0.000
0.000 4.414 0.000
-0.014 0.000 14.636
Na Ti Tl
4 4 4
Direct
0.249 0.000 0.109 Na
0.251 0.500 0.891 Na
0.749 0.500 0.109 Na
0.751 0.000 0.891 Na
0.250 0.000 0.439 Ti
0.250 0.500 0.561 Ti
0.750 0.000 0.561 Ti
0.750 0.500 0.439 Ti
0.249 0.500 0.282 Tl
0.251 0.000 0.718 Tl
0.749 0.000 0.282 Tl
0.751 0.500 0.718 Tl
```

Total DFT energy (no corrections) ... -45.7 eV for the cell shown
Space-group type ... No. 12
E above lowest polymorph ... 0.005 eV/atom
Energy of formation from the pure elements ... 0.0547 eV per atom

---

2.
DFT (GGA-PBE) results for an optimized crystal structure of NaTiTl.

Cell and atoms, written as POSCAR:
```
NaTiTl
1.0
3.315 0.000 0.000
0.000 3.558 0.000
0.000 0.000 12.239
Na Ti Tl
2 2 2
Direct
0.250 0.250 0.118 Na
0.750 0.750 0.882 Na
0.250 0.250 0.442 Ti
0.750 0.750 0.558 Ti
0.250 0.250 0.703 Tl
0.750 0.750 0.297 Tl
```

Total DFT energy (no corrections) ... -22.9 eV for the cell shown
Space-group type ... No. 59
E above lowest polymorph ... 0.000 eV/atom
Energy of formation from the pure elements ... 0.0496 eV per atom